Entry 1:
A relaxed SbPPt2 crystal. Source: Alexandria via LeMat-Bulk, functional PBE.

Properties
total magnetization = 0.00 μB/f.u.
DOS(E_F) = 0.5751 states/eV/atom
total DFT energy (no corrections) = -20.515 eV/f.u.
E_form (uncorrected) = 0.275 eV per atom
distance to the lowest polymorph of the same formula = 2.69 eV per formula unit

a b c (Å): 6.5573 6.5573 6.5573
angles (deg): 90.00 90.00 90.00
Space group F-43m (No. 216)
Inequivalent atoms, fractional coordinates:
Sb (0.0000, 0.0000, 0.0000)
P (0.2500, 0.2500, 0.7500)
Pt (0.0000, 0.0000, 0.5000)
Pt (0.2500, 0.2500, 0.2500)

---

Entry 2:
A relaxed Sb2PPt crystal. Source: Alexandria via LeMat-Bulk, functional PBE.

Properties
total magnetization = 0.00 μB/f.u.
DOS(E_F) = 0.6581 states/eV/atom
total DFT energy (no corrections) = -18.063 eV/f.u.
E_form (uncorrected) = 0.408 eV per atom

a b c (Å): 6.9147 6.9147 6.9147
angles (deg): 90.00 90.00 90.00
Space group F-43m (No. 216)
Inequivalent atoms, fractional coordinates:
Sb (0.0000, 0.0000, 0.0000)
Sb (0.2500, 0.2500, 0.2500)
P (0.0000, 0.0000, 0.5000)
Pt (0.2500, 0.2500, 0.7500)

---

> Among the records above, which one has the highest DOS(E_F)?

Sb2PPt

---

> total DFT energy (no corrections) of number 2 (Sb2PPt)?

-18.063 eV/f.u.